Record 1
DFT (GGA-PBEsol) results for Ti2H2Pt after structural relaxation.

Properties
SG   No. 139
Calculated total energy   -33.6 eV/f.u.
Crystal system   tetragonal

Cell lengths 6.5167, 6.5167, 6.5167 Å; angles 154.70, 154.70, 36.08 degrees
With the nearest neighbours (Å) after each atom.
Fractional coordinates of all 5 atoms:
Ti 0.1507 0.1507 0.0000  4 H 1.88
Ti 0.8493 0.8493 0.0000  4 H 1.88
H 0.2500 0.7500 0.5000  4 Ti 1.88, 4 H 2.02
H 0.7500 0.2500 0.5000  4 Ti 1.88, 4 H 2.02
Pt 0.5000 0.5000 0.0000  8 Ti 2.75, 4 Pt 2.85

***

Record 2
DFT (GGA-PBEsol) results for HgMo3N after structural relaxation.

Properties
SG   No. 221
Calculated total energy   -44.8 eV/f.u.
Crystal system   cubic

Cell lengths 4.1233, 4.1233, 4.1233 Å; angles 90.00, 90.00, 90.00 degrees
With the nearest neighbours (Å) after each atom.
Fractional coordinates of all 5 atoms:
Hg 0.0000 0.0000 0.0000  12 Mo 2.92
Mo 0.0000 0.5000 0.5000  2 N 2.06
Mo 0.5000 0.0000 0.5000  2 N 2.06
Mo 0.5000 0.5000 0.0000  2 N 2.06
N 0.5000 0.5000 0.5000  6 Mo 2.06

***

Record 3
DFT (GGA-PBEsol) results for Hg2BRuC after structural relaxation.

Properties
SG   No. 123
Crystal system   tetragonal
Energy relative to the elements   1665 meV per atom

Cell lengths 5.1867, 5.1867, 3.7356 Å; angles 90.00, 90.00, 90.00 degrees
With the nearest neighbours (Å) after each atom.
Fractional coordinates of all 5 atoms:
Hg 0.0000 0.5000 0.0000  2 Ru 2.59
Hg 0.5000 0.0000 0.0000  2 Ru 2.59
B 0.0000 0.0000 0.5000  8 Hg 3.20
Ru 0.5000 0.5000 0.0000  2 C 1.87
C 0.5000 0.5000 0.5000  2 Ru 1.87

***

Record 4
DFT (GGA-PBEsol) results for Hf3NbRh after structural relaxation.

Properties
SG   No. 221
Crystal system   cubic
Energy relative to the elements   1234 meV per atom

Cell lengths 4.8742, 4.8742, 4.8742 Å; angles 90.00, 90.00, 90.00 degrees
With the nearest neighbours (Å) after each atom.
Fractional coordinates of all 5 atoms:
Hf 0.0000 0.0000 0.5000  2 Nb 2.44
Hf 0.0000 0.5000 0.0000  2 Nb 2.44
Hf 0.5000 0.0000 0.0000  2 Nb 2.44
Nb 0.0000 0.0000 0.0000  6 Hf 2.44
Rh 0.5000 0.5000 0.5000  12 Hf 3.45

***

The records above yield DOS(E_F) values of 4.306, 3.904, 3.376, 6.742 states/eV/f.u., respectively.